# 1
The following is a PBE calculation of crystalline MgCoPIr2 at its relaxed geometry, from the Alexandria database.

Properties
DFT total energy: -0.17047 Ha/atom
ΔH_f (0 K): 1.728 eV per atom
Spin magnetization: 2.2 μB per formula unit

```
data_MgCoPIr2
_symmetry_space_group_name_H-M 'P 4/m m m'
_symmetry_Int_Tables_number 123
_symmetry_space_group_name_Hall '-P 4 2'
_cell_length_a 4.528
_cell_length_b 4.528
_cell_length_c 4.290
_cell_angle_alpha 90.00
_cell_angle_beta 90.00
_cell_angle_gamma 90.00
loop_
_atom_site_label
_atom_site_type_symbol
_atom_site_fract_x
_atom_site_fract_y
_atom_site_fract_z
_atom_site_occupancy
Mg1 Mg 0.000 0.000 0.000 1
Co1 Co 0.000 0.000 0.500 1
P1 P 0.500 0.500 0.500 1
Ir1 Ir 0.000 0.500 0.000 1
```



# 2
The following is a PBE calculation of crystalline MgPaCoIr at its relaxed geometry, from the Alexandria database.

Properties
DFT total energy: -0.26235 Ha/atom
ΔH_f (0 K): -0.374 eV per atom
Spin magnetization: 0.0 μB per formula unit

```
data_MgPaCoIr
_symmetry_space_group_name_H-M 'F -4 3 m'
_symmetry_Int_Tables_number 216
_symmetry_space_group_name_Hall 'F -4 2 3'
_cell_length_a 6.566
_cell_length_b 6.566
_cell_length_c 6.566
_cell_angle_alpha 90.00
_cell_angle_beta 90.00
_cell_angle_gamma 90.00
loop_
_atom_site_label
_atom_site_type_symbol
_atom_site_fract_x
_atom_site_fract_y
_atom_site_fract_z
_atom_site_occupancy
Mg1 Mg 0.000 0.000 0.000 1
Pa1 Pa 0.000 0.000 0.500 1
Co1 Co 0.250 0.250 0.750 1
Ir1 Ir 0.250 0.250 0.250 1
```



# 3
The following is a PBE calculation of crystalline PmMgCoIr at its relaxed geometry, from the Alexandria database.

Properties
DFT total energy: -0.21039 Ha/atom
ΔH_f (0 K): -0.147 eV per atom
Spin magnetization: 0.0 μB per formula unit

```
data_PmMgCoIr
_symmetry_space_group_name_H-M 'F -4 3 m'
_symmetry_Int_Tables_number 216
_symmetry_space_group_name_Hall 'F -4 2 3'
_cell_length_a 6.607
_cell_length_b 6.607
_cell_length_c 6.607
_cell_angle_alpha 90.00
_cell_angle_beta 90.00
_cell_angle_gamma 90.00
loop_
_atom_site_label
_atom_site_type_symbol
_atom_site_fract_x
_atom_site_fract_y
_atom_site_fract_z
_atom_site_occupancy
Pm1 Pm 0.000 0.000 0.000 1
Mg1 Mg 0.000 0.000 0.500 1
Co1 Co 0.250 0.250 0.250 1
Ir1 Ir 0.250 0.250 0.750 1
```



# 4
The following is a PBE calculation of crystalline PuMgCoIr at its relaxed geometry, from the Alexandria database.

Properties
DFT total energy: -0.30086 Ha/atom
ΔH_f (0 K): -0.213 eV per atom
Spin magnetization: 3.7 μB per formula unit

```
data_PuMgCoIr
_symmetry_space_group_name_H-M 'F -4 3 m'
_symmetry_Int_Tables_number 216
_symmetry_space_group_name_Hall 'F -4 2 3'
_cell_length_a 6.499
_cell_length_b 6.499
_cell_length_c 6.499
_cell_angle_alpha 90.00
_cell_angle_beta 90.00
_cell_angle_gamma 90.00
loop_
_atom_site_label
_atom_site_type_symbol
_atom_site_fract_x
_atom_site_fract_y
_atom_site_fract_z
_atom_site_occupancy
Pu1 Pu 0.000 0.000 0.000 1
Mg1 Mg 0.000 0.000 0.500 1
Co1 Co 0.250 0.250 0.250 1
Ir1 Ir 0.250 0.250 0.750 1
```



> Among the records above, which one has the highest DFT total energy?

MgCoPIr2



> Look up the DFT total energy of the third one.

-0.21039 Ha/atom



> Look up the DFT total energy of the third one.

-0.21039 Ha/atom



> ΔH_f (0 K) of number 4 (PuMgCoIr)?

-0.213 eV per atom